First-principles (PBE-GGA) data for NaHoTlCd after structural relaxation, as listed in Alexandria via LeMat-Bulk.

Computed properties:
Energy above the most stable polymorph in this dataset   6.2 meV per atom
Crystal system   tetragonal
Energy of formation from the pure elements   -0.18 eV/atom

Cell lengths 3.7531, 3.7531, 7.5551 Å; angles 90.00, 90.00, 90.00 degrees
With the nearest neighbours (Å) after each atom.
Space group P4mm (No. 99)
Unique sites:
Na: 0.0000 0.0000 0.0000 (multiplicity 1)  4 Cd 3.25, 4 Tl 3.28
Ho: 0.0000 0.0000 0.5074 (multiplicity 1)  4 Cd 3.23, 4 Tl 3.27
Tl: 0.5000 0.5000 0.2542 (multiplicity 1)  4 Ho 3.27, 4 Na 3.28
Cd: 0.5000 0.5000 0.7506 (multiplicity 1)  4 Ho 3.23, 4 Na 3.25

***

First-principles (PBE-GGA) data for Cd2Pd2Br after structural relaxation, as listed in Alexandria via LeMat-Bulk.

Computed properties:
Crystal system   tetragonal
E_form (uncorrected)   -207.9 meV/atom

Cell lengths 7.7231, 7.7231, 3.3495 Å; angles 90.00, 90.00, 90.00 degrees
With the nearest neighbours (Å) after each atom.
Space group P4/mbm (No. 127)
Unique sites:
Cd: 0.1631 0.3369 0.0000 (multiplicity 4)  6 Pd 2.80-2.83
Pd: 0.1310 0.6310 0.5000 (multiplicity 4)  6 Cd 2.80-2.83, 1 Pd 2.86, 2 Br 3.02
Br: 0.0000 0.0000 0.5000 (multiplicity 2)  4 Pd 3.02, 8 Cd 3.34, 2 Br 3.35

***

First-principles (PBE-GGA) data for LaYErMg after structural relaxation, as listed in Alexandria via LeMat-Bulk.

Computed properties:
Energy above the most stable polymorph in this dataset   43.4 meV per atom
Crystal system   cubic
Energy of formation from the pure elements   0.02 eV/atom

Cell lengths 7.9149, 7.9149, 7.9149 Å; angles 90.00, 90.00, 90.00 degrees
With the nearest neighbours (Å) after each atom.
Space group F-43m (No. 216)
Unique sites:
La: 0.0000 0.0000 0.0000 (multiplicity 4)  4 Mg 3.43, 4 Er 3.43
Y: 0.0000 0.0000 0.5000 (multiplicity 4)  4 Mg 3.43, 4 Er 3.43
Er: 0.2500 0.2500 0.2500 (multiplicity 4)  4 La 3.43, 4 Y 3.43
Mg: 0.2500 0.2500 0.7500 (multiplicity 4)  4 La 3.43, 4 Y 3.43

***

First-principles (PBE-GGA) data for PuHgPd after structural relaxation, as listed in Alexandria via LeMat-Bulk.

Computed properties:
Crystal system   hexagonal
Energy of formation from the pure elements   -0.31 eV/atom

Cell lengths 4.9132, 4.9132, 3.1199 Å; angles 90.00, 90.00, 120.00 degrees
With the nearest neighbours (Å) after each atom.
Space group P-6m2 (No. 187)
Unique sites:
Pu: 0.0000 0.0000 0.0000 (multiplicity 1)  2 Pu 3.12, 6 Hg 3.24, 6 Pd 3.24
Hg: 0.3333 0.6667 0.5000 (multiplicity 1)  3 Pd 2.84, 2 Hg 3.12
Pd: 0.6667 0.3333 0.5000 (multiplicity 1)  3 Hg 2.84, 2 Pd 3.12

***

First-principles (PBE-GGA) data for Ba6AsSe3S2 after structural relaxation, as listed in Alexandria via LeMat-Bulk.

Computed properties:
Crystal system   monoclinic
E_form (uncorrected)   -1814.3 meV/atom

Cell lengths 8.1551, 14.1290, 8.0491 Å; angles 90.00, 109.69, 90.00 degrees
With the nearest neighbours (Å) after each atom.
Space group C2/m (No. 12)
Unique sites:
Ba: 0.2387 0.0000 0.2450 (multiplicity 4)  2 S 3.26, 3 Se 3.27-3.35, 1 As 3.36
Ba: 0.2472 0.1717 0.7569 (multiplicity 8)  2 S 3.25, 3 Se 3.30-3.38, 1 As 3.35
As: 0.0000 0.5000 0.0000 (multiplicity 2)  6 Ba 3.35-3.36
Se: 0.0000 0.0000 0.5000 (multiplicity 2)  6 Ba 3.27-3.38
Se: 0.0000 0.3356 0.5000 (multiplicity 4)  6 Ba 3.30-3.38
S: 0.0000 0.1668 0.0000 (multiplicity 4)  6 Ba 3.25-3.26

***

First-principles (PBE-GGA) data for Pr5Ga2Sb2 after structural relaxation, as listed in Alexandria via LeMat-Bulk.

Computed properties:
Crystal system   orthorhombic
E_form (uncorrected)   -808.4 meV/atom

Cell lengths 16.0489, 8.2787, 8.2415 Å; angles 90.00, 90.00, 90.00 degrees
With the nearest neighbours (Å) after each atom.
Space group Cmce (No. 64)
Unique sites:
Pr: 0.0000 0.0000 0.0000 (multiplicity 4)  2 Sb 3.28, 4 Ga 3.30-3.32
Pr: 0.1349 0.1745 0.3302 (multiplicity 16)  3 Ga 3.23-3.28, 3 Sb 3.23-3.28
Ga: 0.0000 0.1183 0.6152 (multiplicity 8)  1 Ga 2.73
Sb: 0.2043 0.0000 0.0000 (multiplicity 8)  7 Pr 3.23-3.28